Crystalline Sr2LiSb4Ir3 at its relaxed geometry, computed with GGA-PBE.

extended XYZ file:
```
10
Lattice="4.6519 0.0000 0.0000 0.0000 4.6519 0.0000 0.0000 0.0000 10.6522" Properties=species:S:1:pos:R:3 pbc="T T T"
Sb 2.3260 0.0000 6.7215
Sb 0.0000 2.3260 3.9307
Sb 0.0000 0.0000 0.0000
Sb 2.3260 2.3260 0.0000
Ir 0.0000 0.0000 5.3261
Ir 2.3260 0.0000 9.3756
Ir 0.0000 2.3260 1.2766
Li 2.3260 2.3260 5.3261
Sr 0.0000 2.3260 7.9452
Sr 2.3260 0.0000 2.7070
```

The calculation puts the electronic total energy at -54.0 eV per cell. As for the density of states at the Fermi level: 5.97 states/eV/f.u.

***

Crystalline K3Pm2TmSe6 at its relaxed geometry, computed with GGA-PBE.

extended XYZ file:
```
12
Lattice="-6.6407 -2.1719 2.4200 4.1935 -4.6352 -3.9499 4.0337 -0.3423 6.9931" Properties=species:S:1:pos:R:3 pbc="T T T"
K 4.3889 -4.3922 0.6175
K -2.8024 -2.7571 4.8456
K 0.7933 -3.5747 2.7316
Se 2.0268 -2.0438 0.0625
Se -0.9869 -5.1428 0.3103
Se 2.5734 -2.0066 5.1529
Se -0.4402 -5.1055 5.4007
Se -1.4866 -1.2450 2.1281
Se 3.0731 -5.9043 3.3351
Tm 0.0000 0.0000 0.0000
Pm 0.5800 -3.8136 -1.8253
Pm -3.0272 -2.9935 0.2954
```

The calculation puts the electronic total energy at -59.2 eV per cell. As for the density of states at the Fermi level: 0.00 states/eV/f.u.

***

Crystalline Pm2DyHf at its relaxed geometry, computed with GGA-PBE.

extended XYZ file:
```
4
Lattice="-0.5718 -1.0325 3.8618 3.8146 -1.3072 0.2153 2.1691 6.6766 2.1062" Properties=species:S:1:pos:R:3 pbc="T T T"
Pm 0.4847 1.4918 0.4706
Pm 1.6844 5.1847 1.6356
Hf 1.6214 -1.1699 2.0386
Dy 2.7060 2.1684 3.0917
```

The calculation puts the electronic total energy at -23.2 eV per cell. As for the density of states at the Fermi level: 5.26 states/eV/f.u. Its distance to the lowest polymorph of the same formula is 61 meV per atom. Its formation energy is 0.2165 eV/atom.

***

Crystalline LiTa2Ga2 at its relaxed geometry, computed with GGA-PBE.

extended XYZ file:
```
10
Lattice="8.0993 0.0000 0.0000 0.0000 8.0993 0.0000 0.0000 0.0000 2.8169" Properties=species:S:1:pos:R:3 pbc="T T T"
Li 0.0000 0.0000 0.0000
Li 4.0496 4.0496 0.0000
Ta 0.9664 3.0833 0.0000
Ta 5.0160 0.9664 0.0000
Ta 3.0833 7.1329 0.0000
Ta 7.1329 5.0160 0.0000
Ga 1.4294 5.4790 1.4084
Ga 5.4790 6.6699 1.4084
Ga 6.6699 2.6203 1.4084
Ga 2.6203 1.4294 1.4084
```

The calculation puts the electronic total energy at -62.8 eV per cell. As for the density of states at the Fermi level: 3.94 states/eV/f.u. Its distance to the lowest polymorph of the same formula is 29 meV per atom. Its formation energy is 0.0541 eV/atom.

***

Crystalline LiBe4Zn at its relaxed geometry, computed with GGA-PBE.

extended XYZ file:
```
6
Lattice="-2.0299 -3.5352 1.5288 2.0551 -2.6675 2.7598 -1.2213 -0.1741 4.1753" Properties=species:S:1:pos:R:3 pbc="T T T"
Be -1.0608 -2.4759 5.2652
Be -0.4480 -2.3885 3.1703
Be -1.4665 -4.1622 3.9374
Be 0.5831 -3.7269 4.5550
Zn 0.0000 0.0000 0.0000
Li -0.8971 -4.7826 6.3480
```

The calculation puts the electronic total energy at -18.3 eV per cell. As for the density of states at the Fermi level: 0.71 states/eV/f.u. Its formation energy is -0.0379 eV/atom.

***

Crystalline CdBiTe2N at its relaxed geometry, computed with GGA-PBE.

extended XYZ file:
```
5
Lattice="6.0042 0.0000 0.0000 0.0000 6.0042 0.0000 0.0000 0.0000 4.3667" Properties=species:S:1:pos:R:3 pbc="T T T"
Cd 3.0021 3.0021 2.1834
N 0.0000 0.0000 2.1834
Te 3.0021 0.0000 0.0000
Te 0.0000 3.0021 0.0000
Bi 0.0000 0.0000 0.0000
```

The calculation puts the electronic total energy at -14.8 eV per cell. As for the density of states at the Fermi level: 4.67 states/eV/f.u. Its distance to the lowest polymorph of the same formula is 416 meV per atom.

***

Crystalline Co3NiB at its relaxed geometry, computed with GGA-PBE.

extended XYZ file:
```
5
Lattice="-3.1649 0.4892 -1.9715 -1.0340 -3.5298 0.7839 -1.7485 1.2017 3.1050" Properties=species:S:1:pos:R:3 pbc="T T T"
Co -0.5170 -1.7649 0.3919
Co -0.8742 0.6009 1.5525
Co -1.5824 0.2446 -0.9858
Ni -2.9737 -0.9194 0.9587
B 0.0000 0.0000 0.0000
```

The calculation puts the electronic total energy at -32.9 eV per cell. As for the density of states at the Fermi level: 6.23 states/eV/f.u. Its distance to the lowest polymorph of the same formula is 0 meV per atom. Its formation energy is 0.1738 eV/atom.

***

Crystalline MgScOs2 at its relaxed geometry, computed with GGA-PBE.

extended XYZ file:
```
4
Lattice="2.8044 -0.0139 0.0000 -1.0777 2.5891 0.0000 0.0000 0.0000 8.8420" Properties=species:S:1:pos:R:3 pbc="T T T"
Os 0.0000 0.0000 0.0236
Os 0.0000 0.0000 4.3974
Mg 0.8633 1.2876 6.6315
Sc 0.8633 1.2876 2.2105
```

The calculation puts the electronic total energy at -30.1 eV per cell. As for the density of states at the Fermi level: 2.77 states/eV/f.u. Its formation energy is 0.0720 eV/atom.

***

Crystalline Tb2PrZn2Ga2 at its relaxed geometry, computed with GGA-PBE.

extended XYZ file:
```
7
Lattice="-3.4510 -2.5593 -1.2798 0.7513 -4.0067 -1.8653 -1.0910 -6.1817 7.4516" Properties=species:S:1:pos:R:3 pbc="T T T"
Tb -1.0175 -4.6458 4.1822
Tb -2.7732 -8.1018 0.1243
Ga -0.9429 -3.0874 0.8649
Ga -2.8478 -9.6601 3.4416
Zn -1.8403 -5.2234 -0.2956
Zn -1.9504 -7.5242 4.6021
Pr 0.0000 0.0000 0.0000
```

The calculation puts the electronic total energy at -25.5 eV per cell. As for the density of states at the Fermi level: 3.70 states/eV/f.u. Its formation energy is -0.4066 eV/atom.

***

Crystalline AlSbCl2 at its relaxed geometry, computed with GGA-PBE.

extended XYZ file:
```
4
Lattice="4.5269 0.0000 0.0000 0.0000 4.4562 0.0000 0.0000 0.0000 4.4562" Properties=species:S:1:pos:R:3 pbc="T T T"
Sb 2.2634 2.2281 0.0000
Cl 0.0000 2.2281 2.2281
Cl 0.0000 0.0000 0.0000
Al 2.2634 0.0000 2.2281
```

The calculation puts the electronic total energy at -11.6 eV per cell. As for the density of states at the Fermi level: 2.45 states/eV/f.u. Its distance to the lowest polymorph of the same formula is 627 meV per atom.

***

Crystalline LiSm3Th3S8 at its relaxed geometry, computed with GGA-PBE.

extended XYZ file:
```
15
Lattice="-1.6123 -4.2901 6.5489 2.7374 -3.6240 -6.5783 4.8380 4.7087 4.2757" Properties=species:S:1:pos:R:3 pbc="T T T"
Th 0.0000 0.0000 0.0000
Th 1.3687 -1.8120 -3.2892
Th 0.5626 -3.9571 -0.0147
S 0.0231 -2.0375 6.0560
S 4.5329 0.6947 1.5710
S 1.4302 -3.9002 2.6752
S 5.9400 -1.1680 -1.8097
S 2.2073 -1.7028 -0.5721
S 5.1115 -3.3727 1.5558
S 3.7557 -1.5026 4.8184
S 0.8516 0.1673 2.6904
Li 2.4190 2.3543 2.1378
Sm 1.6129 0.2093 5.4123
Sm 2.9815 -1.6027 2.1231
Sm 3.7877 0.5423 -1.1513
```

The calculation puts the electronic total energy at -99.9 eV per cell. As for the density of states at the Fermi level: 9.75 states/eV/f.u.

***

Crystalline SbTeCN2 at its relaxed geometry, computed with GGA-PBE.

extended XYZ file:
```
5
Lattice="-0.8407 -0.9225 -3.8577 2.9308 -2.8016 0.0312 -2.8886 -3.0068 1.3485" Properties=species:S:1:pos:R:3 pbc="T T T"
C 0.0000 0.0000 0.0000
Te -1.4443 -1.5034 0.6742
Sb -0.3992 -3.3654 -1.2390
N -0.4203 -0.4612 -1.9289
N 1.4654 -1.4008 0.0156
```

The calculation puts the electronic total energy at -21.4 eV per cell. As for the density of states at the Fermi level: 2.30 states/eV/f.u. Its distance to the lowest polymorph of the same formula is 61 meV per atom.